1.
VASP calculation (PBE) on crystalline Dy3Si8Rh3 at its relaxed geometry.

## Properties
The calculation puts the spin magnetization at 0.0 μB per formula unit. As for the formation energy (no corrections): -0.66 eV per atom. The space group is Immm (71). For the excess energy over the best structure of this formula in the dataset, the calculation gives 0.045 eV/atom. The volume is 229.6 Å³/f.u.

```
Dy3Si8Rh3
1.0
-0.538 -3.692 -1.888
3.099 -5.271 4.795
-6.086 -3.290 3.539
Si Dy Rh
8 3 3
Cartesian
-4.717 -6.175 4.160 Si
0.107 -3.723 2.620 Si
-1.251 -9.044 4.153 Si
1.191 -6.078 2.287 Si
0.569 -7.315 4.883 Si
-2.274 -3.209 2.294 Si
-4.095 -4.938 1.564 Si
-3.632 -8.530 3.827 Si
-2.527 -7.647 6.415 Dy
-0.998 -4.606 0.032 Dy
-1.763 -6.127 3.223 Dy
-4.013 -3.737 3.823 Rh
-0.269 -1.846 -0.944 Rh
1.025 -4.824 4.512 Rh
```



2.
VASP calculation (PBE) on crystalline Si2SbOs at its relaxed geometry.

## Properties
The calculation puts the spin magnetization at 0.0 μB per formula unit. As for the formation energy (no corrections): 0.22 eV per atom. The space group is C2/m (12). The volume is 71.2 Å³/f.u.

```
Si2SbOs
1.0
4.247 0.000 0.001
3.106 2.896 0.001
1.394 0.549 5.792
Sb Si Os
1 2 1
Cartesian
2.187 0.861 1.449 Sb
4.418 1.740 3.361 Si
1.350 0.532 5.328 Si
6.561 2.584 4.346 Os
```



3.
VASP calculation (PBE) on crystalline Rb2BaNp3O12 at its relaxed geometry.

## Properties
The calculation puts the spin magnetization at 1.0 μB per formula unit. As for the formation energy (no corrections): -2.63 eV per atom. The space group is R-3m (166). The volume is 339.5 Å³/f.u.

```
Rb2BaNp3O12
1.0
-6.332 -4.123 0.369
-0.295 -4.900 5.756
-4.736 1.905 5.583
O Rb Np Ba
12 2 3 1
Cartesian
-8.098 -2.109 4.918 O
-5.307 -6.386 5.026 O
-7.058 -4.520 3.404 O
-3.264 -5.008 6.790 O
-4.304 -2.598 8.303 O
-4.186 -2.691 1.620 O
-7.176 -4.426 10.087 O
-7.874 -7.065 7.806 O
-9.818 -4.086 7.730 O
-1.544 -3.031 3.977 O
-3.488 -0.053 3.901 O
-6.055 -0.731 6.681 O
-4.391 -2.750 4.524 Rb
-6.972 -4.367 7.183 Rb
-3.166 -2.061 0.184 Np
-0.147 -2.450 2.878 Np
-2.368 0.953 2.791 Np
0.000 0.000 0.000 Ba
```



4.
VASP calculation (PBE) on crystalline Pm2Sm7Sc at its relaxed geometry.

## Properties
The calculation puts the spin magnetization at 0.0 μB per formula unit. The space group is Cmmm (65). The value obtained for the calculated formation energy is 0.17 eV/atom. The volume is 333.1 Å³/f.u.

```
Pm2Sm7Sc
1.0
3.452 0.000 0.000
0.000 14.104 -4.772
0.000 -10.622 10.435
Sm Pm Sc
7 2 1
Cartesian
1.726 -1.540 2.828 Sm
0.000 9.471 -1.922 Sm
1.726 1.741 2.832 Sm
1.726 3.218 -0.098 Sm
0.000 -5.988 7.585 Sm
1.726 5.022 2.836 Sm
1.726 0.265 5.762 Sm
1.726 -3.311 5.939 Pm
1.726 6.794 -0.275 Pm
0.000 0.000 0.000 Sc
```



5.
VASP calculation (PBE) on crystalline KBC4O8 at its relaxed geometry.

## Properties
The calculation puts the spin magnetization at 0.0 μB per formula unit. As for the formation energy (no corrections): -1.46 eV per atom. The space group is Cmcm (63). The volume is 201.2 Å³/f.u.

```
KBC4O8
1.0
7.019 0.001 0.000
-1.827 6.777 0.000
0.000 0.000 8.460
O C B K
16 8 2 2
Cartesian
3.354 4.302 6.345 O
1.204 4.455 7.525 O
1.204 4.455 5.164 O
1.839 2.476 2.115 O
-0.134 3.623 2.115 O
-0.586 5.827 7.834 O
1.660 5.964 2.115 O
3.281 4.358 2.115 O
5.326 3.155 6.345 O
5.779 0.951 0.626 O
3.988 2.323 0.934 O
-0.586 5.827 4.856 O
1.912 2.420 6.345 O
3.988 2.323 3.295 O
3.533 0.814 6.345 O
5.779 0.951 3.604 O
0.196 5.228 5.572 C
4.996 1.550 2.887 C
4.996 1.550 1.343 C
0.196 5.228 7.117 C
4.110 3.200 6.345 C
2.020 4.801 2.115 C
1.083 3.578 2.115 C
3.172 1.977 6.345 C
3.277 2.868 2.115 B
1.916 3.910 6.345 B
-1.152 6.261 2.115 K
6.345 0.517 6.345 K
```



6.
VASP calculation (PBE) on crystalline Nd2InPdO6 at its relaxed geometry.

## Properties
The calculation puts the spin magnetization at 1.0 μB per formula unit. As for the formation energy (no corrections): -2.12 eV per atom. The space group is P2_1/c (14). The volume is 136.5 Å³/f.u.

```
Nd2InPdO6
1.0
-2.063 4.464 -2.679
-2.254 -3.661 -4.364
-6.760 -0.758 4.127
O In Nd Pd
12 2 4 2
Cartesian
-7.924 -2.377 -2.095 O
-7.264 0.194 -3.426 O
-8.522 1.223 0.660 O
-9.835 -0.102 -1.882 O
-5.110 -1.446 -1.999 O
-4.667 1.709 -3.740 O
-3.814 -0.149 0.510 O
-3.153 2.423 -0.821 O
-1.242 0.147 -1.034 O
-2.556 -1.178 -3.576 O
-6.410 -1.663 0.824 O
-5.967 1.491 -0.917 O
-1.032 2.232 -1.340 In
-4.507 -2.209 -0.118 In
-3.829 -3.458 -3.045 Nd
-7.468 -0.350 -0.825 Nd
-7.249 3.503 0.129 Nd
-3.609 0.395 -2.091 Nd
-1.127 -1.830 -2.182 Pd
-4.412 1.853 0.724 Pd
```



7.
VASP calculation (PBE) on crystalline CaScCdPt at its relaxed geometry.

## Properties
The calculation puts the spin magnetization at 0.0 μB per formula unit. The space group is F-43m (216). The value obtained for the calculated formation energy is -0.60 eV/atom. The volume is 86.0 Å³/f.u.

```
CaScCdPt
1.0
-3.708 0.819 3.183
-2.415 -3.822 2.027
0.590 -1.033 4.810
Sc Cd Ca Pt
1 1 1 1
Cartesian
-2.767 -2.018 5.010 Sc
-1.383 -1.009 2.505 Cd
0.000 0.000 0.000 Ca
-4.150 -3.027 7.515 Pt
```



8.
VASP calculation (PBE) on crystalline Pa2Ge2S7 at its relaxed geometry.

## Properties
The calculation puts the spin magnetization at 0.0 μB per formula unit. As for the formation energy (no corrections): -0.95 eV per atom. The space group is C2/m (12). For the excess energy over the best structure of this formula in the dataset, the calculation gives 0.041 eV/atom. The volume is 339.4 Å³/f.u.

```
Pa2Ge2S7
1.0
7.907 0.140 0.160
-0.498 6.733 -0.826
-0.498 -1.714 6.563
Ge S Pa
2 7 2
Cartesian
4.097 3.799 4.342 Ge
2.815 1.360 1.554 Ge
3.954 0.070 0.080 S
1.188 2.602 0.006 S
5.723 5.499 3.318 S
0.971 3.051 3.488 S
5.940 2.107 2.409 S
5.723 2.557 5.891 S
1.188 -0.340 2.579 S
-0.498 4.005 1.560 Pa
-0.498 1.014 4.177 Pa
```



9.
VASP calculation (PBE) on crystalline SrBeSe at its relaxed geometry.

## Properties
The calculation puts the spin magnetization at 0.0 μB per formula unit. As for the formation energy (no corrections): -0.56 eV per atom. The space group is P3m1 (156). For the excess energy over the best structure of this formula in the dataset, the calculation gives 0.000 eV/atom. The volume is 69.4 Å³/f.u.

```
SrBeSe
1.0
-2.426 2.574 -1.554
2.254 -2.152 -2.282
-3.833 -3.759 -0.241
Sr Be Se
1 1 1
Cartesian
-1.934 -3.154 -2.205 Sr
-0.319 -0.313 -0.020 Be
-1.752 0.130 -1.852 Se
```



10.
VASP calculation (PBE) on crystalline KTh2Cl8 at its relaxed geometry.

## Properties
The calculation puts the spin magnetization at 1.0 μB per formula unit. As for the formation energy (no corrections): -2.01 eV per atom. The space group is C2/m (12). For the excess energy over the best structure of this formula in the dataset, the calculation gives 0.030 eV/atom. The volume is 421.7 Å³/f.u.

```
KTh2Cl8
1.0
7.333 -0.448 -0.340
-0.520 8.224 1.290
-0.520 3.456 7.573
Cl Th K
8 2 1
Cartesian
4.766 5.138 1.284 Cl
0.923 9.797 7.434 Cl
1.513 4.254 3.228 Cl
4.779 6.977 5.294 Cl
5.369 1.435 1.089 Cl
4.766 2.621 4.602 Cl
1.525 6.094 7.238 Cl
1.525 8.611 3.920 Cl
3.391 2.828 2.146 Th
2.901 8.403 6.376 Th
0.000 0.000 0.000 K
```



11.
VASP calculation (PBE) on crystalline La5ErSn5 at its relaxed geometry.

## Properties
The calculation puts the spin magnetization at 0.0 μB per formula unit. The space group is C2/m (12). The value obtained for the calculated formation energy is -0.54 eV/atom. The volume is 369.9 Å³/f.u.

```
La5ErSn5
1.0
6.135 0.000 0.000
-3.068 8.629 0.558
0.000 -2.541 6.822
Sn La Er
5 5 1
Cartesian
3.068 5.620 0.919 Sn
3.068 4.274 4.659 Sn
0.000 0.467 6.462 Sn
3.068 0.000 0.000 Sn
0.000 1.813 2.721 Sn
0.000 5.297 1.984 La
3.068 2.472 2.031 La
0.000 3.615 5.349 La
0.000 -1.271 3.411 La
3.068 0.790 5.396 La
0.000 0.000 0.000 Er
```



12.
VASP calculation (PBE) on crystalline Pm7Nd2Tm at its relaxed geometry.

## Properties
The calculation puts the spin magnetization at 0.0 μB per formula unit. The space group is Cmmm (65). For the excess energy over the best structure of this formula in the dataset, the calculation gives 0.000 eV/atom. The value obtained for the calculated formation energy is 0.15 eV/atom. The volume is 344.5 Å³/f.u.

```
Pm7Nd2Tm
1.0
3.493 0.000 0.000
0.000 14.259 -4.824
0.000 -10.738 10.549
Nd Pm Tm
2 7 1
Cartesian
1.747 -3.356 6.010 Nd
1.747 6.877 -0.284 Nd
0.000 -6.041 7.661 Pm
1.747 0.220 5.834 Pm
1.747 1.761 2.863 Pm
1.747 5.107 2.829 Pm
0.000 9.562 -1.935 Pm
1.747 -1.586 2.897 Pm
1.747 3.301 -0.109 Pm
0.000 0.000 0.000 Tm
```



13.
VASP calculation (PBE) on crystalline BeZnIn2 at its relaxed geometry.

## Properties
The calculation puts the spin magnetization at 0.0 μB per formula unit. The space group is Imm2 (44). The value obtained for the calculated formation energy is 0.30 eV/atom. The volume is 78.9 Å³/f.u.

```
BeZnIn2
1.0
-1.579 -4.664 4.397
-1.450 -6.415 -0.573
3.886 5.277 -0.794
In Be Zn
2 1 1
Cartesian
0.380 -2.525 2.778 In
-0.157 -0.573 0.198 In
0.426 -3.469 0.317 Be
-1.305 -4.775 1.648 Zn
```



14.
VASP calculation (PBE) on crystalline PmAl2Zn2 at its relaxed geometry.

## Properties
The calculation puts the spin magnetization at 0.0 μB per formula unit. The space group is P4/nmm (129). For the excess energy over the best structure of this formula in the dataset, the calculation gives 0.018 eV/atom. The value obtained for the calculated formation energy is -0.42 eV/atom. The volume is 96.1 Å³/f.u.

```
PmAl2Zn2
1.0
4.234 0.000 0.000
0.000 4.234 0.000
0.000 0.000 10.718
Al Zn Pm
4 4 2
Cartesian
0.000 2.117 1.428 Al
2.117 0.000 9.289 Al
2.117 2.117 5.359 Al
0.000 0.000 5.359 Al
0.000 2.117 3.877 Zn
0.000 0.000 0.000 Zn
2.117 2.117 0.000 Zn
2.117 0.000 6.841 Zn
0.000 2.117 8.058 Pm
2.117 0.000 2.660 Pm
```



15.
VASP calculation (PBE) on crystalline Ce3SmPt8 at its relaxed geometry.

## Properties
The calculation puts the spin magnetization at 2.3 μB per formula unit. The space group is R3m (160). For the excess energy over the best structure of this formula in the dataset, the calculation gives 0.000 eV/atom. The value obtained for the calculated formation energy is -1.04 eV/atom. The volume is 234.0 Å³/f.u.

```
Ce3SmPt8
1.0
5.490 0.000 0.000
2.745 4.754 0.000
2.745 1.585 8.964
Pt Ce Sm
8 3 1
Cartesian
2.745 1.585 3.921 Pt
8.235 4.754 8.404 Pt
6.860 2.378 1.688 Pt
5.490 4.752 1.688 Pt
6.865 5.545 6.155 Pt
4.120 2.378 1.688 Pt
8.235 3.173 6.155 Pt
9.604 5.545 6.155 Pt
5.490 3.169 4.525 Ce
5.490 3.169 7.879 Ce
2.745 1.585 8.921 Ce
8.235 4.754 3.331 Sm
```



16.
VASP calculation (PBE) on crystalline CsMgSb at its relaxed geometry.

## Properties
The calculation puts the spin magnetization at 0.0 μB per formula unit. As for the formation energy (no corrections): -0.43 eV per atom. The space group is C2/m (12). The volume is 128.7 Å³/f.u.

```
CsMgSb
1.0
18.669 0.000 0.000
7.467 2.416 -2.854
-7.467 2.416 2.854
Mg Cs Sb
2 2 2
Cartesian
3.814 2.416 -0.520 Mg
14.855 2.416 0.520 Mg
18.770 2.416 -2.121 Cs
-0.101 2.416 2.121 Cs
8.452 2.416 2.438 Sb
10.217 2.416 -2.438 Sb
```



17.
VASP calculation (PBE) on crystalline ZrTe2Se at its relaxed geometry.

## Properties
The calculation puts the spin magnetization at 0.0 μB per formula unit. As for the formation energy (no corrections): -0.04 eV per atom. The space group is P4/mmm (123). The volume is 96.1 Å³/f.u.

```
ZrTe2Se
1.0
-3.047 -4.143 -0.035
2.231 -1.604 -4.348
2.466 -1.830 1.940
Te Zr Se
2 1 1
Cartesian
0.000 0.000 0.000 Te
-0.408 -2.873 -2.192 Te
-0.291 -2.987 0.952 Zr
2.348 -1.717 -1.204 Se
```



18.
VASP calculation (PBE) on crystalline LiIn6Hg12 at its relaxed geometry.

## Properties
The calculation puts the spin magnetization at 0.0 μB per formula unit. The space group is R-3 (148). For the excess energy over the best structure of this formula in the dataset, the calculation gives 0.000 eV/atom. The value obtained for the calculated formation energy is -0.01 eV/atom. The volume is 520.7 Å³/f.u.

```
LiIn6Hg12
1.0
-7.381 2.696 1.881
-3.818 -4.031 -5.871
-1.998 -6.345 4.588
Hg In Li
12 6 1
Cartesian
-11.400 -5.919 -1.183 Hg
-7.057 -5.463 1.950 Hg
-5.838 -2.470 2.064 Hg
-1.633 -2.281 -1.278 Hg
-6.140 -2.217 -1.352 Hg
-4.511 -4.909 0.035 Hg
-10.133 -7.942 0.807 Hg
-11.564 -5.399 1.876 Hg
-1.797 -1.760 1.781 Hg
-7.359 -5.210 -1.466 Hg
-3.064 0.262 -0.209 Hg
-8.686 -2.771 0.563 Hg
-9.812 -3.578 -2.138 In
-3.852 -3.720 -2.664 In
-5.956 0.144 0.526 In
-7.241 -7.824 0.073 In
-3.385 -4.102 2.736 In
-9.345 -3.960 3.262 In
0.000 0.000 0.000 Li
```



19.
VASP calculation (PBE) on crystalline Pr4Te3Br at its relaxed geometry.

## Properties
The calculation puts the spin magnetization at 0.0 μB per formula unit. As for the formation energy (no corrections): -1.34 eV per atom. The space group is R-3m (166). The volume is 253.9 Å³/f.u.

```
Pr4Te3Br
1.0
4.492 0.000 0.686
2.194 3.920 0.686
0.094 0.055 14.439
Te Pr Br
3 4 1
Cartesian
3.390 1.987 7.905 Te
1.714 1.005 3.829 Te
5.065 2.970 11.981 Te
5.889 3.453 6.588 Pr
0.890 0.522 9.223 Pr
2.565 1.504 13.305 Pr
4.214 2.471 2.506 Pr
0.000 0.000 0.000 Br
```



20.
VASP calculation (PBE) on crystalline Zn2CoAg2 at its relaxed geometry.

## Properties
The calculation puts the spin magnetization at 1.4 μB per formula unit. The space group is I4/mmm (139). For the excess energy over the best structure of this formula in the dataset, the calculation gives 0.176 eV/atom. The value obtained for the calculated formation energy is 0.44 eV/atom. The volume is 86.2 Å³/f.u.

```
Zn2CoAg2
1.0
-0.418 -1.889 3.170
2.219 -2.678 -1.303
5.863 0.658 3.341
Zn Ag Co
2 2 1
Cartesian
1.826 -1.735 1.383 Zn
5.838 -2.174 3.826 Zn
4.491 -2.152 1.486 Ag
3.173 -1.757 3.722 Ag
0.000 0.000 0.000 Co
```